# 1
Density functional theory data (PBE-GGA) for a relaxed Cs3Tl4Zn crystal.

Values from the calculation:
**Energy above the most stable polymorph in this dataset**: 11 meV per atom
**Crystal system**: orthorhombic

Unit cell a=6.970 b=8.193 c=11.965 alpha=90.00 beta=90.00 gamma=90.00
Space group Imm2 (No. 44)
Unique sites:
Cs (0.000, 0.000, 0.000) [2 per cell]
Cs (0.000, 0.243, 0.651) [4 per cell]
Tl (0.000, 0.303, 0.318) [4 per cell]
Tl (0.239, 0.500, 0.900) [4 per cell]
Zn (0.000, 0.500, 0.106) [2 per cell]

# 2
Density functional theory data (PBE-GGA) for a relaxed CsTl2Zn2 crystal.

Values from the calculation:
**Energy above the most stable polymorph in this dataset**: 98 meV per atom
**Crystal system**: tetragonal

Unit cell a=9.474 b=9.474 c=3.437 alpha=90.00 beta=90.00 gamma=90.00
Space group P4/mbm (No. 127)
Unique sites:
Cs (0.000, 0.000, 0.000) [2 per cell]
Tl (0.131, 0.369, 0.000) [4 per cell]
Zn (0.152, 0.652, 0.500) [4 per cell]

# 3
Density functional theory data (PBE-GGA) for a relaxed CsTlZn crystal.

Values from the calculation:
**Energy above the most stable polymorph in this dataset**: 19 meV per atom
**Crystal system**: monoclinic

Unit cell a=6.389 b=4.765 c=7.295 alpha=90.00 beta=100.86 gamma=90.00
Space group P2_1/m (No. 11)
Unique sites:
Cs (0.241, 0.250, 0.438) [2 per cell]
Tl (0.344, 0.750, 0.895) [2 per cell]
Zn (0.069, 0.250, 0.938) [2 per cell]

# 4
Density functional theory data (PBE-GGA) for a relaxed Cs2Tl2Zn crystal.

Values from the calculation:
**Energy above the most stable polymorph in this dataset**: 106 meV per atom
**Crystal system**: tetragonal

Unit cell a=8.030 b=8.030 c=6.537 alpha=90.00 beta=90.00 gamma=90.00
Space group P4/mbm (No. 127)
Unique sites:
Cs (0.182, 0.318, 0.000) [4 per cell]
Tl (0.138, 0.638, 0.500) [4 per cell]
Zn (0.000, 0.000, 0.500) [2 per cell]

# 5
Density functional theory data (PBE-GGA) for a relaxed Cs2Tl2Zn crystal.

Values from the calculation:
**Energy above the most stable polymorph in this dataset**: 230 meV per atom
**Crystal system**: tetragonal

Unit cell a=11.442 b=11.442 c=4.056 alpha=90.00 beta=90.00 gamma=90.00
Space group P4/mbm (No. 127)
Unique sites:
Cs (0.201, 0.299, 0.000) [4 per cell]
Tl (0.091, 0.591, 0.500) [4 per cell]
Zn (0.000, 0.000, 0.000) [2 per cell]

# 6
Density functional theory data (PBE-GGA) for a relaxed CsTl4Zn crystal.

Values from the calculation:
**Energy above the most stable polymorph in this dataset**: 180 meV per atom
**Crystal system**: cubic

Unit cell a=9.454 b=9.454 c=9.454 alpha=90.00 beta=90.00 gamma=90.00
Space group F-43m (No. 216)
Unique sites:
Cs (0.000, 0.000, 0.000) [4 per cell]
Tl (0.124, 0.124, 0.624) [16 per cell]
Zn (0.250, 0.250, 0.250) [4 per cell]

# 7
Density functional theory data (PBE-GGA) for a relaxed Cs2TlZn2 crystal.

Values from the calculation:
**Energy above the most stable polymorph in this dataset**: 0 meV per atom
**Crystal system**: tetragonal

Unit cell a=7.987 b=7.987 c=6.098 alpha=90.00 beta=90.00 gamma=90.00
Space group P4/mbm (No. 127)
Unique sites:
Cs (0.182, 0.318, 0.000) [4 per cell]
Tl (0.000, 0.000, 0.500) [2 per cell]
Zn (0.121, 0.621, 0.500) [4 per cell]

# 8
Density functional theory data (PBE-GGA) for a relaxed CsTl10Zn2 crystal.

Values from the calculation:
**Crystal system**: orthorhombic

Unit cell a=6.243 b=15.573 c=16.508 alpha=90.00 beta=90.00 gamma=90.00
Space group Fmmm (No. 69)
Unique sites:
Cs (0.000, 0.000, 0.000) [4 per cell]
Tl (0.000, 0.104, 0.381) [16 per cell]
Tl (0.000, 0.171, 0.183) [16 per cell]
Tl (0.250, 0.250, 0.000) [8 per cell]
Zn (0.250, 0.000, 0.250) [8 per cell]

# 9
Density functional theory data (PBE-GGA) for a relaxed Cs2TlZn2 crystal.

Values from the calculation:
**Energy above the most stable polymorph in this dataset**: 29 meV per atom
**Crystal system**: tetragonal

Unit cell a=7.440 b=7.440 c=8.373 alpha=90.00 beta=90.00 gamma=90.00
Space group I4/mmm (No. 139)
Unique sites:
Cs (0.000, 0.500, 0.250) [4 per cell]
Tl (0.000, 0.000, 0.000) [2 per cell]
Zn (0.000, 0.000, 0.345) [4 per cell]

# 10
Density functional theory data (PBE-GGA) for a relaxed CsTlZn crystal.

Values from the calculation:
**Energy above the most stable polymorph in this dataset**: 47 meV per atom
**Crystal system**: hexagonal

Unit cell a=5.0238 b=5.0238 c=5.6786 alpha=90.00 beta=90.00 gamma=120.00
Space group P-6m2 (No. 187)
Unique sites:
Cs (0.0000, 0.0000, 0.0000) [1 per cell]
Tl (0.3333, 0.6667, 0.5000) [1 per cell]
Zn (0.6667, 0.3333, 0.5000) [1 per cell]

# 11
Density functional theory data (PBE-GGA) for a relaxed CsTl4Zn crystal.

Values from the calculation:
**Energy above the most stable polymorph in this dataset**: 0 meV per atom
**Crystal system**: orthorhombic

Unit cell a=5.541 b=7.878 c=19.650 alpha=90.00 beta=90.00 gamma=90.00
Space group Immm (No. 71)
Unique sites:
Cs (0.000, 0.000, 0.208) [4 per cell]
Tl (0.000, 0.192, 0.000) [4 per cell]
Tl (0.000, 0.249, 0.401) [8 per cell]
Tl (0.000, 0.500, 0.139) [4 per cell]
Zn (0.233, 0.000, 0.500) [4 per cell]

# 12
Density functional theory data (PBE-GGA) for a relaxed Cs3Tl4Zn crystal.

Values from the calculation:
**Energy above the most stable polymorph in this dataset**: 0 meV per atom
**Crystal system**: orthorhombic

Unit cell a=6.849 b=15.073 c=7.239 alpha=90.00 beta=90.00 gamma=90.00
Space group Pmmn (No. 59, origin choice 2)
Unique sites:
Cs (0.250, 0.004, 0.201) [4 per cell]
Cs (0.250, 0.750, 0.524) [2 per cell]
Tl (0.003, 0.750, 0.009) [4 per cell]
Tl (0.250, 0.142, 0.670) [4 per cell]
Zn (0.250, 0.250, 0.325) [2 per cell]

For reference, density by record: 6.23, 7.24, 6.13, 5.83, 4.63, 7.99, 5.13, 9.55, 4.31, 5.39, 7.87, 5.70 g/cm³.
For reference, formation energy by record: -0.03, 0.16, 0.04, 0.10, 0.23, 0.12, 0.16, 0.03, 0.18, 0.07, -0.06, -0.04 eV/atom.
For reference, DOS at the Fermi energy by record: 0.51, 0.57, 0.34, 0.54, 1.31, 0.42, 0.60, 0.52, 0.96, 0.68, 0.37, 0.96 states/eV per atom.